(i)
## AlCu2Au3 (GGA-PBE)

Data for a relaxed AlCu2Au3 crystal.

Cell lengths 6.903, 6.903, 6.656 Å; angles 90.00, 90.00, 144.12 degrees
Element x y z (fractional)
Al1 0.343 0.657 0.000
Al2 0.657 0.343 0.000
Cu1 0.000 0.000 0.000
Cu2 0.000 0.000 0.500
Cu3 0.331 0.669 0.500
Cu4 0.669 0.331 0.500
Au1 0.831 0.169 0.756
Au2 0.500 0.500 0.259
Au3 0.169 0.831 0.244
Au4 0.831 0.169 0.244
Au5 0.169 0.831 0.756
Au6 0.500 0.500 0.741

Results
The space-group type is Cmmm.

(ii)
## AlCu2Au3 (GGA-PBE)

Data for a relaxed AlCu2Au3 crystal.

Cell lengths 3.179, 6.830, 10.203 Å; angles 113.88, 98.96, 90.00 degrees
Element x y z (fractional)
Al1 0.360 0.037 0.721
Al2 0.640 0.963 0.279
Cu1 0.301 0.610 0.602
Cu2 0.699 0.390 0.398
Cu3 0.903 0.803 0.805
Cu4 0.097 0.197 0.195
Au1 0.255 0.185 0.511
Au2 0.029 0.770 0.059
Au3 0.407 0.481 0.814
Au4 0.745 0.815 0.489
Au5 0.593 0.519 0.186
Au6 0.971 0.230 0.941

Results
The space-group type is C2/m.

Energies relative to the minimum, meV/atom: (i) 0; (ii) 90

(i)
## Al2CuAu4 (GGA-PBE)

Data for a relaxed Al2CuAu4 crystal.

Cell lengths 6.652, 5.464, 7.385 Å; angles 90.00, 116.86, 90.00 degrees
Element x y z (fractional)
Al1 0.803 0.750 0.043
Al2 0.197 0.250 0.957
Al3 0.369 0.250 0.431
Al4 0.631 0.750 0.569
Cu1 0.229 0.750 0.248
Cu2 0.771 0.250 0.752
Au1 0.559 0.497 0.224
Au2 0.045 0.750 0.847
Au3 0.955 0.250 0.153
Au4 0.559 0.003 0.224
Au5 0.004 0.250 0.552
Au6 0.441 0.997 0.776
Au7 0.441 0.503 0.776
Au8 0.996 0.750 0.448

Results
The space-group type is P2_1/m.

(ii)
## Al2CuAu4 (GGA-PBE)

Data for a relaxed Al2CuAu4 crystal.

Cell lengths 4.405, 4.405, 7.535 Å; angles 73.00, 73.00, 60.00 degrees
Element x y z (fractional)
Au1 0.872 0.872 0.385
Au2 0.128 0.128 0.615
Au3 0.619 0.619 0.142
Au4 0.381 0.381 0.858
Al1 0.749 0.749 0.753
Al2 0.251 0.251 0.247
Cu1 0.000 0.000 0.000

Results
The space-group type is R-3m.

(iii)
## Al2CuAu4 (GGA-PBE)

Data for a relaxed Al2CuAu4 crystal.

Cell lengths 4.827, 4.827, 7.193 Å; angles 70.39, 70.39, 90.00 degrees
Element x y z (fractional)
Au1 0.203 0.203 0.594
Au2 0.797 0.797 0.406
Au3 0.000 0.500 0.000
Au4 0.500 0.000 0.000
Al1 0.393 0.393 0.215
Al2 0.607 0.607 0.785
Cu1 0.000 0.000 0.000

Results
The space-group type is I4/mmm.

Energies relative to the minimum, meV/atom: (i) 117; (ii) 0; (iii) 418